8
Lattice="6.673 0.000 0.000 0.000 3.871 0.000 -2.236 0.000 6.402" Properties=species:S:1:pos:R:3 comment="NaTb2ScS4 (GGA-PBE, optimized geometry)" raw_formation_energy_ev_per_atom=-1.8639 n_ef_per_ev_cell=2.76 energy_ev_per_fu=-48.3 crystal_system=monoclinic pbc="T T T"
Na 0.000 0.000 0.000
Tb 2.218 0.000 3.201
Tb 3.336 1.936 0.000
Sc -1.118 1.936 3.201
S -0.062 0.000 4.739
S 1.070 1.936 1.648
S 3.366 1.936 4.754
S 4.499 0.000 1.663